Record 1
Material: ZrPaRhW
Method: DFT, PBE
State: relaxed

Geometry as CIF:
```
data_ZrPaRhW
_cell_length_a 6.799
_cell_length_b 6.799
_cell_length_c 6.799
_cell_angle_alpha 90.00
_cell_angle_beta 90.00
_cell_angle_gamma 90.00
_space_group_name_H-M_alt 'P 1'
_space_group_IT_number 1
_space_group_name_Hall 'P 1'
loop_
_atom_site_label
_atom_site_type_symbol
_atom_site_fract_x
_atom_site_fract_y
_atom_site_fract_z
Zr1 Zr 0.000 0.000 0.000
Zr2 Zr 0.000 0.500 0.500
Zr3 Zr 0.500 0.000 0.500
Zr4 Zr 0.500 0.500 0.000
Pa1 Pa 0.000 0.000 0.500
Pa2 Pa 0.000 0.500 0.000
Pa3 Pa 0.500 0.000 0.000
Pa4 Pa 0.500 0.500 0.500
Rh1 Rh 0.250 0.250 0.250
Rh2 Rh 0.250 0.750 0.750
Rh3 Rh 0.750 0.250 0.750
Rh4 Rh 0.750 0.750 0.250
W1 W 0.250 0.250 0.750
W2 W 0.250 0.750 0.250
W3 W 0.750 0.250 0.250
W4 W 0.750 0.750 0.750
```

Values from the calculation:
space group: F-43m (216)
calculated volume: 19.645 Å³ per atom
total magnetization: 0.00 μB per cell
DFT formation energy: -84 kJ/mol of formula units
DOS(E_F): 0.725 states/eV per atom

***

Record 2
Material: KNiPb2
Method: DFT, PBE
State: relaxed

Geometry as CIF:
```
data_KNiPb2
_cell_length_a 3.765
_cell_length_b 3.803
_cell_length_c 8.364
_cell_angle_alpha 90.00
_cell_angle_beta 90.00
_cell_angle_gamma 90.00
_space_group_name_H-M_alt 'P 1'
_space_group_IT_number 1
_space_group_name_Hall 'P 1'
loop_
_atom_site_label
_atom_site_type_symbol
_atom_site_fract_x
_atom_site_fract_y
_atom_site_fract_z
K1 K 0.000 0.000 0.000
Ni1 Ni 0.500 0.500 0.362
Pb1 Pb 0.000 0.000 0.413
Pb2 Pb 0.500 0.500 0.681
```

Values from the calculation:
space group: Pmm2 (25)
calculated volume: 29.941 Å³ per atom
total magnetization: 0.00 μB per cell
DFT formation energy: 59 kJ/mol of formula units
DOS(E_F): 0.739 states/eV per atom

***

Record 3
Material: SrCu4Si4
Method: DFT, PBE
State: relaxed

Geometry as CIF:
```
data_SrCu4Si4
_cell_length_a 5.887
_cell_length_b 5.887
_cell_length_c 8.278
_cell_angle_alpha 90.00
_cell_angle_beta 90.00
_cell_angle_gamma 90.00
_space_group_name_H-M_alt 'P 1'
_space_group_IT_number 1
_space_group_name_Hall 'P 1'
loop_
_atom_site_label
_atom_site_type_symbol
_atom_site_fract_x
_atom_site_fract_y
_atom_site_fract_z
Sr1 Sr 0.250 0.750 0.250
Sr2 Sr 0.750 0.250 0.750
Cu1 Cu 0.031 0.250 0.072
Cu2 Cu 0.250 0.031 0.572
Cu3 Cu 0.250 0.469 0.572
Cu4 Cu 0.469 0.250 0.072
Cu5 Cu 0.531 0.750 0.928
Cu6 Cu 0.750 0.531 0.428
Cu7 Cu 0.750 0.969 0.428
Cu8 Cu 0.969 0.750 0.928
Si1 Si 0.040 0.250 0.364
Si2 Si 0.250 0.040 0.864
Si3 Si 0.250 0.460 0.864
Si4 Si 0.460 0.250 0.364
Si5 Si 0.540 0.750 0.636
Si6 Si 0.750 0.540 0.136
Si7 Si 0.750 0.960 0.136
Si8 Si 0.960 0.750 0.636
```

Values from the calculation:
space group: P4_2/nmc (137)
calculated volume: 15.939 Å³ per atom
total magnetization: 0.00 μB per cell
DFT total energy: -4.5091 eV per atom
DOS(E_F): 0.461 states/eV per atom

***

Record 4
Material: Zr2NbZnN
Method: DFT, PBE
State: relaxed

Geometry as CIF:
```
data_Zr2NbZnN
_cell_length_a 4.533
_cell_length_b 4.533
_cell_length_c 4.147
_cell_angle_alpha 90.00
_cell_angle_beta 90.00
_cell_angle_gamma 90.00
_space_group_name_H-M_alt 'P 1'
_space_group_IT_number 1
_space_group_name_Hall 'P 1'
loop_
_atom_site_label
_atom_site_type_symbol
_atom_site_fract_x
_atom_site_fract_y
_atom_site_fract_z
Zr1 Zr 0.000 0.500 0.000
Zr2 Zr 0.500 0.000 0.000
Nb1 Nb 0.000 0.000 0.500
Zn1 Zn 0.500 0.500 0.500
N1 N 0.000 0.000 0.000
```

Values from the calculation:
space group: P4/mmm (123)
calculated volume: 17.042 Å³ per atom
total magnetization: 0.00 μB per cell
DFT total energy: -8.0421 eV per atom
DOS(E_F): 0.429 states/eV per atom

***

Record 5
Material: NaNpBi2
Method: DFT, PBE
State: relaxed

Geometry as CIF:
```
data_NaNpBi2
_cell_length_a 7.770
_cell_length_b 7.770
_cell_length_c 7.770
_cell_angle_alpha 90.00
_cell_angle_beta 90.00
_cell_angle_gamma 90.00
_space_group_name_H-M_alt 'P 1'
_space_group_IT_number 1
_space_group_name_Hall 'P 1'
loop_
_atom_site_label
_atom_site_type_symbol
_atom_site_fract_x
_atom_site_fract_y
_atom_site_fract_z
Na1 Na 0.000 0.000 0.000
Na2 Na 0.000 0.500 0.500
Na3 Na 0.500 0.000 0.500
Na4 Na 0.500 0.500 0.000
Np1 Np 0.000 0.000 0.500
Np2 Np 0.000 0.500 0.000
Np3 Np 0.500 0.000 0.000
Np4 Np 0.500 0.500 0.500
Bi1 Bi 0.250 0.250 0.250
Bi2 Bi 0.250 0.250 0.750
Bi3 Bi 0.250 0.750 0.250
Bi4 Bi 0.250 0.750 0.750
Bi5 Bi 0.750 0.250 0.250
Bi6 Bi 0.750 0.250 0.750
Bi7 Bi 0.750 0.750 0.250
Bi8 Bi 0.750 0.750 0.750
```

Values from the calculation:
space group: Fm-3m (225)
calculated volume: 29.315 Å³ per atom
energy above the lowest structure with this stoichiometry: 175 meV per atom
total magnetization: 17.23 μB per cell
DFT formation energy: 11 kJ/mol of formula units
DOS(E_F): 4.633 states/eV per atom

***

Record 6
Material: La2MgSc
Method: DFT, PBE
State: relaxed

Geometry as CIF:
```
data_La2MgSc
_cell_length_a 12.701
_cell_length_b 3.788
_cell_length_c 5.668
_cell_angle_alpha 90.00
_cell_angle_beta 116.45
_cell_angle_gamma 90.00
_space_group_name_H-M_alt 'P 1'
_space_group_IT_number 1
_space_group_name_Hall 'P 1'
loop_
_atom_site_label
_atom_site_type_symbol
_atom_site_fract_x
_atom_site_fract_y
_atom_site_fract_z
La1 La 0.000 0.000 0.000
La2 La 0.229 0.000 0.727
La3 La 0.500 0.500 0.000
La4 La 0.729 0.500 0.727
Mg1 Mg 0.251 0.500 0.248
Mg2 Mg 0.751 0.000 0.248
Sc1 Sc 0.465 0.000 0.465
Sc2 Sc 0.965 0.500 0.465
```

Values from the calculation:
space group: Cm (8)
calculated volume: 30.522 Å³ per atom
total magnetization: 0.00 μB per cell
DFT formation energy: -3 kJ/mol of formula units
DOS(E_F): 1.296 states/eV per atom

***

Look up the calculated volume of the fifth one. 29.315 Å³ per atom

***

Which of these has the highest DOS(E_F)? NaNpBi2

***

Repeat the third record exactly.
Material: SrCu4Si4
Method: DFT, PBE
State: relaxed

Geometry as CIF:
```
data_SrCu4Si4
_cell_length_a 5.887
_cell_length_b 5.887
_cell_length_c 8.278
_cell_angle_alpha 90.00
_cell_angle_beta 90.00
_cell_angle_gamma 90.00
_space_group_name_H-M_alt 'P 1'
_space_group_IT_number 1
_space_group_name_Hall 'P 1'
loop_
_atom_site_label
_atom_site_type_symbol
_atom_site_fract_x
_atom_site_fract_y
_atom_site_fract_z
Sr1 Sr 0.250 0.750 0.250
Sr2 Sr 0.750 0.250 0.750
Cu1 Cu 0.031 0.250 0.072
Cu2 Cu 0.250 0.031 0.572
Cu3 Cu 0.250 0.469 0.572
Cu4 Cu 0.469 0.250 0.072
Cu5 Cu 0.531 0.750 0.928
Cu6 Cu 0.750 0.531 0.428
Cu7 Cu 0.750 0.969 0.428
Cu8 Cu 0.969 0.750 0.928
Si1 Si 0.040 0.250 0.364
Si2 Si 0.250 0.040 0.864
Si3 Si 0.250 0.460 0.864
Si4 Si 0.460 0.250 0.364
Si5 Si 0.540 0.750 0.636
Si6 Si 0.750 0.540 0.136
Si7 Si 0.750 0.960 0.136
Si8 Si 0.960 0.750 0.636
```

Values from the calculation:
space group: P4_2/nmc (137)
calculated volume: 15.939 Å³ per atom
total magnetization: 0.00 μB per cell
DFT total energy: -4.5091 eV per atom
DOS(E_F): 0.461 states/eV per atom

***

Which value of calculated volume does entry 6 give? 30.522 Å³ per atom